Entry from Alexandria via LeMat-Bulk: AlV3Se6 after structural relaxation (PBE).

Summary:
- Formation energy from raw total energies: -0.554 eV per atom
- Uncorrected energy: -5.754 eV per atom

```
data_AlV3Se6
_chemical_formula_sum 'Al4 V12 Se24'
_cell_length_a 10.280
_cell_length_b 12.748
_cell_length_c 6.263
_cell_angle_alpha 90.00
_cell_angle_beta 90.00
_cell_angle_gamma 90.00
_space_group_name_H-M_alt 'C m c 21'
_space_group_IT_number 36
loop_
_space_group_symop_operation_xyz
'x,y,z'
'-x,-y,z+1/2'
'-x,y,z'
'x,-y,z+1/2'
'x+1/2,y+1/2,z'
'-x+1/2,-y+1/2,z+1/2'
'-x+1/2,y+1/2,z'
'x+1/2,-y+1/2,z+1/2'
loop_
_atom_site_label
_atom_site_type_symbol
_atom_site_fract_x
_atom_site_fract_y
_atom_site_fract_z
_atom_site_occupancy
Al1 Al 0.000 0.207 0.000 1
V1 V 0.000 0.401 0.610 1
V2 V 0.182 0.102 0.538 1
Se1 Se 0.000 0.034 0.849 1
Se2 Se 0.000 0.222 0.381 1
Se3 Se 0.161 0.474 0.323 1
Se4 Se 0.174 0.279 0.795 1
```